No. 1
Entry from Alexandria via LeMat-Bulk: a geometry-optimized Li9Cu4Ag11 structure (PBE).

Output
* final energy: -2.818 eV per atom
* energy of formation: -0.111 eV/atom

abc: 2.986 11.947 11.947
angles: 114.22 90.00 90.00
Element x y z (fractional)
Ag  0.000  0.274  0.274
Ag  0.000  0.596  0.956
Ag  0.000  0.726  0.726
Ag  0.000  0.835  0.165
Ag  0.000  0.956  0.596
Ag  0.000  0.165  0.835
Ag  0.000  0.368  0.632
Ag  0.000  0.000  0.000
Ag  0.000  0.404  0.044
Ag  0.000  0.044  0.404
Ag  0.000  0.632  0.368
Li  0.500  0.379  0.840
Li  0.500  0.789  0.947
Li  0.500  0.840  0.379
Li  0.500  0.160  0.621
Li  0.500  0.947  0.789
Li  0.500  0.500  0.500
Li  0.500  0.211  0.053
Li  0.500  0.053  0.211
Li  0.500  0.621  0.160
Cu  0.500  0.560  0.759
Cu  0.500  0.759  0.560
Cu  0.500  0.241  0.440
Cu  0.500  0.440  0.241

No. 2
Entry from Alexandria via LeMat-Bulk: a geometry-optimized Li14CuAg structure (PBE).

Output
* final energy: -2.121 eV per atom
* energy of formation: -0.013 eV/atom

abc: 5.924 5.924 9.451
angles: 90.00 90.00 119.79
Element x y z (fractional)
Li  0.374  0.133  0.272
Li  0.207  0.793  0.000
Li  0.867  0.626  0.272
Li  0.379  0.621  0.260
Li  0.878  0.122  0.748
Li  0.708  0.789  0.000
Li  0.211  0.292  0.000
Li  0.706  0.294  0.000
Li  0.878  0.122  0.252
Li  0.044  0.452  0.500
Li  0.374  0.133  0.728
Li  0.867  0.626  0.728
Li  0.379  0.621  0.740
Li  0.548  0.956  0.500
Cu  0.542  0.458  0.500
Ag  0.040  0.960  0.500

No. 3
Entry from Alexandria via LeMat-Bulk: a geometry-optimized LiCu2Ag structure (PBE).

Output
* final energy: -3.017 eV per atom
* energy of formation: 0.222 eV/atom

abc: 6.885 6.885 5.477
angles: 51.06 51.06 90.00
Element x y z (fractional)
Li  0.250  0.750  0.500
Li  0.500  0.500  0.000
Ag  0.000  0.000  0.000
Ag  0.750  0.250  0.500
Cu  0.875  0.862  0.750
Cu  0.138  0.625  0.250
Cu  0.612  0.125  0.250
Cu  0.375  0.388  0.750

No. 4
Entry from Alexandria via LeMat-Bulk: a geometry-optimized Li2CuAg6 structure (PBE).

Output
* final energy: -2.797 eV per atom
* energy of formation: -0.015 eV/atom

abc: 2.833 7.709 8.238
angles: 117.90 101.75 90.00
Element x y z (fractional)
Ag  0.500  0.310  0.000
Ag  0.169  0.351  0.334
Ag  0.831  0.649  0.666
Ag  0.169  0.983  0.334
Ag  0.500  0.690  0.000
Ag  0.831  0.017  0.666
Li  0.337  0.335  0.670
Li  0.663  0.665  0.330
Cu  0.000  0.000  0.000

No. 5
Entry from Alexandria via LeMat-Bulk: a geometry-optimized Li12Cu2Ag structure (PBE).

Output
* final energy: -2.237 eV per atom
* energy of formation: 0.030 eV/atom

abc: 5.698 5.698 18.517
angles: 90.00 90.00 57.32
Element x y z (fractional)
Li  0.500  0.500  0.362
Li  0.250  0.750  0.927
Li  0.750  0.750  0.627
Li  0.250  0.250  0.373
Li  0.000  0.000  0.638
Li  0.000  0.000  0.223
Li  0.250  0.250  0.134
Li  0.500  0.500  0.638
Li  0.250  0.250  0.866
Li  0.750  0.250  0.927
Li  0.627  0.127  0.500
Li  0.250  0.750  0.073
Li  0.873  0.373  0.500
Li  0.750  0.750  0.373
Li  0.250  0.250  0.627
Li  0.127  0.627  0.500
Li  0.750  0.750  0.134
Li  0.750  0.750  0.866
Li  0.000  0.000  0.777
Li  0.500  0.500  0.777
Li  0.373  0.873  0.500
Li  0.500  0.500  0.223
Li  0.750  0.250  0.073
Li  0.000  0.000  0.362
Ag  0.500  0.000  0.000
Ag  0.000  0.500  0.000
Cu  0.000  0.500  0.256
Cu  0.500  0.000  0.256
Cu  0.000  0.500  0.744
Cu  0.500  0.000  0.744

No. 6
Entry from Alexandria via LeMat-Bulk: a geometry-optimized Li15Cu2Ag2 structure (PBE).

Output
* final energy: -2.187 eV per atom
* energy of formation: 0.055 eV/atom

abc: 7.142 7.142 7.142
angles: 70.58 70.58 70.58
Element x y z (fractional)
Li  0.287  0.713  0.000
Li  0.000  0.713  0.287
Li  0.000  0.287  0.713
Li  0.440  0.440  0.807
Li  0.713  0.000  0.287
Li  0.287  0.000  0.713
Li  0.560  0.193  0.560
Li  0.000  0.500  0.000
Li  0.193  0.560  0.560
Li  0.713  0.287  0.000
Li  0.440  0.807  0.440
Li  0.807  0.440  0.440
Li  0.560  0.560  0.193
Li  0.500  0.000  0.000
Li  0.000  0.000  0.500
Ag  0.282  0.282  0.282
Ag  0.718  0.718  0.718
Cu  0.084  0.084  0.084
Cu  0.916  0.916  0.916